A plane-wave DFT calculation with GGA-PBE was carried out for a relaxed structure of UNbSi3.

Values from the calculation:
Spin magnetization = 3.065 μB per formula unit
Energy = -35.94 eV/cell

Structure (CIF):
```
data_UNbSi3
_cell_length_a 4.739
_cell_length_b 4.739
_cell_length_c 4.739
_cell_angle_alpha 90.00
_cell_angle_beta 90.00
_cell_angle_gamma 90.00
_space_group_name_H-M_alt 'P m -3 m'
_space_group_IT_number 221
_space_group_name_Hall '-P 4 2 3'
loop_
_atom_site_label
_atom_site_fract_x
_atom_site_fract_y
_atom_site_fract_z
U1 0.000 0.000 0.000
Nb1 0.500 0.500 0.500
Si1 0.000 0.500 0.500
```


A plane-wave DFT calculation with GGA-PBE was carried out for a relaxed structure of UNbSi.

Values from the calculation:
Spin magnetization = 1.529 μB per formula unit
Energy = -103.64 eV/cell

Structure (CIF):
```
data_UNbSi
_cell_length_a 6.330
_cell_length_b 6.330
_cell_length_c 6.330
_cell_angle_alpha 90.00
_cell_angle_beta 90.00
_cell_angle_gamma 90.00
_space_group_name_H-M_alt 'F -4 3 m'
_space_group_IT_number 216
_space_group_name_Hall 'F -4 2 3'
loop_
_atom_site_label
_atom_site_fract_x
_atom_site_fract_y
_atom_site_fract_z
U1 0.000 0.000 0.000
Nb1 0.000 0.000 0.500
Si1 0.250 0.250 0.750
```


A plane-wave DFT calculation with GGA-PBE was carried out for a relaxed structure of UNbSi.

Values from the calculation:
Spin magnetization = 0.020 μB per formula unit
Energy = -95.80 eV/cell

Structure (CIF):
```
data_UNbSi
_cell_length_a 6.369
_cell_length_b 6.369
_cell_length_c 6.369
_cell_angle_alpha 90.00
_cell_angle_beta 90.00
_cell_angle_gamma 90.00
_space_group_name_H-M_alt 'F -4 3 m'
_space_group_IT_number 216
_space_group_name_Hall 'F -4 2 3'
loop_
_atom_site_label
_atom_site_fract_x
_atom_site_fract_y
_atom_site_fract_z
U1 0.000 0.000 0.000
Nb1 0.250 0.250 0.750
Si1 0.250 0.250 0.250
```


A plane-wave DFT calculation with GGA-PBE was carried out for a relaxed structure of NbSiW2.

Values from the calculation:
Spin magnetization = 0.000 μB per formula unit
Energy = -164.58 eV/cell

Structure (CIF):
```
data_NbSiW2
_cell_length_a 6.316
_cell_length_b 6.316
_cell_length_c 6.316
_cell_angle_alpha 90.00
_cell_angle_beta 90.00
_cell_angle_gamma 90.00
_space_group_name_H-M_alt 'F -4 3 m'
_space_group_IT_number 216
_space_group_name_Hall 'F -4 2 3'
loop_
_atom_site_label
_atom_site_fract_x
_atom_site_fract_y
_atom_site_fract_z
Nb1 0.000 0.000 0.000
Si1 0.250 0.250 0.750
W1 0.000 0.000 0.500
W2 0.250 0.250 0.250
```


A plane-wave DFT calculation with GGA-PBE was carried out for a relaxed structure of NbSiW.

Values from the calculation:
Spin magnetization = 0.004 μB per formula unit
Energy = -110.46 eV/cell

Structure (CIF):
```
data_NbSiW
_cell_length_a 5.955
_cell_length_b 5.955
_cell_length_c 5.955
_cell_angle_alpha 90.00
_cell_angle_beta 90.00
_cell_angle_gamma 90.00
_space_group_name_H-M_alt 'F -4 3 m'
_space_group_IT_number 216
_space_group_name_Hall 'F -4 2 3'
loop_
_atom_site_label
_atom_site_fract_x
_atom_site_fract_y
_atom_site_fract_z
Nb1 0.000 0.000 0.000
Si1 0.250 0.250 0.250
W1 0.000 0.000 0.500
```


A plane-wave DFT calculation with GGA-PBE was carried out for a relaxed structure of Nb2Si2W.

Values from the calculation:
Spin magnetization = 0.003 μB per formula unit
Energy = -85.20 eV/cell

Structure (CIF):
```
data_Nb2Si2W
_cell_length_a 3.827
_cell_length_b 3.827
_cell_length_c 11.360
_cell_angle_alpha 90.00
_cell_angle_beta 90.00
_cell_angle_gamma 90.00
_space_group_name_H-M_alt 'I 4/m m m'
_space_group_IT_number 139
_space_group_name_Hall '-I 4 2'
loop_
_atom_site_label
_atom_site_fract_x
_atom_site_fract_y
_atom_site_fract_z
Nb1 0.000 0.500 0.250
Si1 0.000 0.000 0.096
W1 0.000 0.000 0.500
```


A plane-wave DFT calculation with GGA-PBE was carried out for a relaxed structure of Nb2SiW.

Values from the calculation:
Spin magnetization = 0.002 μB per formula unit
Energy = -154.36 eV/cell

Structure (CIF):
```
data_Nb2SiW
_cell_length_a 6.376
_cell_length_b 6.376
_cell_length_c 6.376
_cell_angle_alpha 90.00
_cell_angle_beta 90.00
_cell_angle_gamma 90.00
_space_group_name_H-M_alt 'F -4 3 m'
_space_group_IT_number 216
_space_group_name_Hall 'F -4 2 3'
loop_
_atom_site_label
_atom_site_fract_x
_atom_site_fract_y
_atom_site_fract_z
Nb1 0.000 0.000 0.000
Nb2 0.250 0.250 0.250
Si1 0.000 0.000 0.500
W1 0.250 0.250 0.750
```


A plane-wave DFT calculation with GGA-PBE was carried out for a relaxed structure of YNbSi.

Values from the calculation:
Spin magnetization = 1.098 μB per formula unit
Energy = -89.01 eV/cell

Structure (CIF):
```
data_YNbSi
_cell_length_a 6.446
_cell_length_b 6.446
_cell_length_c 6.446
_cell_angle_alpha 90.00
_cell_angle_beta 90.00
_cell_angle_gamma 90.00
_space_group_name_H-M_alt 'F -4 3 m'
_space_group_IT_number 216
_space_group_name_Hall 'F -4 2 3'
loop_
_atom_site_label
_atom_site_fract_x
_atom_site_fract_y
_atom_site_fract_z
Y1 0.000 0.000 0.000
Nb1 0.000 0.000 0.500
Si1 0.250 0.250 0.750
```


A plane-wave DFT calculation with GGA-PBE was carried out for a relaxed structure of Y2NbSi.

Values from the calculation:
Spin magnetization = 1.075 μB per formula unit
Energy = -111.74 eV/cell

Structure (CIF):
```
data_Y2NbSi
_cell_length_a 6.986
_cell_length_b 6.986
_cell_length_c 6.986
_cell_angle_alpha 90.00
_cell_angle_beta 90.00
_cell_angle_gamma 90.00
_space_group_name_H-M_alt 'F -4 3 m'
_space_group_IT_number 216
_space_group_name_Hall 'F -4 2 3'
loop_
_atom_site_label
_atom_site_fract_x
_atom_site_fract_y
_atom_site_fract_z
Y1 0.000 0.000 0.000
Y2 0.250 0.250 0.250
Nb1 0.250 0.250 0.750
Si1 0.000 0.000 0.500
```


A plane-wave DFT calculation with GGA-PBE was carried out for a relaxed structure of YNbSi.

Values from the calculation:
Spin magnetization = 3.660 μB per formula unit
Energy = -76.54 eV/cell

Structure (CIF):
```
data_YNbSi
_cell_length_a 6.755
_cell_length_b 6.755
_cell_length_c 6.755
_cell_angle_alpha 90.00
_cell_angle_beta 90.00
_cell_angle_gamma 90.00
_space_group_name_H-M_alt 'F -4 3 m'
_space_group_IT_number 216
_space_group_name_Hall 'F -4 2 3'
loop_
_atom_site_label
_atom_site_fract_x
_atom_site_fract_y
_atom_site_fract_z
Y1 0.000 0.000 0.000
Nb1 0.250 0.250 0.750
Si1 0.250 0.250 0.250
```


A plane-wave DFT calculation with GGA-PBE was carried out for a relaxed structure of YNb2Si2.

Values from the calculation:
Spin magnetization = 0.003 μB per formula unit
Energy = -81.79 eV/cell

Structure (CIF):
```
data_YNb2Si2
_cell_length_a 4.024
_cell_length_b 4.024
_cell_length_c 11.678
_cell_angle_alpha 90.00
_cell_angle_beta 90.00
_cell_angle_gamma 90.00
_space_group_name_H-M_alt 'I 4/m m m'
_space_group_IT_number 139
_space_group_name_Hall '-I 4 2'
loop_
_atom_site_label
_atom_site_fract_x
_atom_site_fract_y
_atom_site_fract_z
Y1 0.000 0.000 0.000
Nb1 0.000 0.500 0.250
Si1 0.000 0.000 0.398
```


A plane-wave DFT calculation with GGA-PBE was carried out for a relaxed structure of YNb2Si.

Values from the calculation:
Spin magnetization = 0.024 μB per formula unit
Energy = -128.47 eV/cell

Structure (CIF):
```
data_YNb2Si
_cell_length_a 6.741
_cell_length_b 6.741
_cell_length_c 6.741
_cell_angle_alpha 90.00
_cell_angle_beta 90.00
_cell_angle_gamma 90.00
_space_group_name_H-M_alt 'F -4 3 m'
_space_group_IT_number 216
_space_group_name_Hall 'F -4 2 3'
loop_
_atom_site_label
_atom_site_fract_x
_atom_site_fract_y
_atom_site_fract_z
Y1 0.000 0.000 0.000
Nb1 0.000 0.000 0.500
Nb2 0.250 0.250 0.250
Si1 0.250 0.250 0.750
```


A plane-wave DFT calculation with GGA-PBE was carried out for a relaxed structure of NbZnSi.

Values from the calculation:
Spin magnetization = 0.839 μB per formula unit
Energy = -65.46 eV/cell

Structure (CIF):
```
data_NbZnSi
_cell_length_a 5.910
_cell_length_b 5.910
_cell_length_c 5.910
_cell_angle_alpha 90.00
_cell_angle_beta 90.00
_cell_angle_gamma 90.00
_space_group_name_H-M_alt 'F -4 3 m'
_space_group_IT_number 216
_space_group_name_Hall 'F -4 2 3'
loop_
_atom_site_label
_atom_site_fract_x
_atom_site_fract_y
_atom_site_fract_z
Nb1 0.000 0.000 0.000
Zn1 0.000 0.000 0.500
Si1 0.250 0.250 0.250
```


A plane-wave DFT calculation with GGA-PBE was carried out for a relaxed structure of NbZnSi2.

Values from the calculation:
Spin magnetization = 0.001 μB per formula unit
Energy = -82.34 eV/cell

Structure (CIF):
```
data_NbZnSi2
_cell_length_a 6.280
_cell_length_b 6.280
_cell_length_c 6.280
_cell_angle_alpha 90.00
_cell_angle_beta 90.00
_cell_angle_gamma 90.00
_space_group_name_H-M_alt 'F -4 3 m'
_space_group_IT_number 216
_space_group_name_Hall 'F -4 2 3'
loop_
_atom_site_label
_atom_site_fract_x
_atom_site_fract_y
_atom_site_fract_z
Nb1 0.000 0.000 0.000
Zn1 0.250 0.250 0.250
Si1 0.000 0.000 0.500
Si2 0.250 0.250 0.750
```